Below is an optimized crystal structure of AlPt2C, with properties calculated at the GGA-PBE level.

abc: 5.9771 5.9771 5.9771
angles: 90.00 90.00 90.00
Closest atoms and distances in Å follow each position.
Space group Fm-3m (No. 225)
Unique sites:
Al 0.0000 0.0000 0.0000 (multiplicity 4)  8 Pt 2.59
Pt 0.2500 0.2500 0.2500 (multiplicity 8)  4 Al 2.59, 4 C 2.59
C 0.0000 0.0000 0.5000 (multiplicity 4)  8 Pt 2.59

Properties
* total energy: -5.590 eV per atom
* DOS at the Fermi energy: 8.01 states/eV per cell
* ΔE_f: 0.6724 eV per atom
* energy relative to the lowest polymorph listed for this composition: 0.5567 eV/atom